No. 1
# MnBe4Au2

A geometry-optimized MnBe4Au2 structure (PBE, Alexandria via LeMat-Bulk).

Cell: 6.5238 6.5238 6.5238 Å, 143.95 143.95 51.90°
Last column: nearest neighbours and their distance in Å.
Positions (direct):
1 Mn 0.0000 0.0000 0.0000  6 Be 2.02-2.18
2 Be 0.0000 0.5000 0.5000  2 Mn 2.02
3 Be 0.1854 0.1854 0.0000  1 Mn 2.18, 1 Au 2.26
4 Be 0.5000 0.0000 0.5000  2 Mn 2.02
5 Be 0.8146 0.8146 0.0000  1 Mn 2.18, 1 Au 2.26
6 Au 0.3776 0.3776 0.0000  5 Be 2.26-2.48
7 Au 0.6224 0.6224 0.0000  5 Be 2.26-2.48

Calculated values
Density of states at the Fermi level   0.60 states/eV per atom
Size of the total moment   1.114 μB per formula unit
DFT total energy   -26.7 eV per cell

=====

No. 2
# Mn2BeAu

A geometry-optimized Mn2BeAu structure (PBE, Alexandria via LeMat-Bulk).

Cell: 4.4494 4.4494 4.4494 Å, 128.81 128.71 75.40°
Last column: nearest neighbours and their distance in Å.
Positions (direct):
1 Mn 0.0000 0.0000 0.0000  4 Mn 2.61, 4 Au 2.61, 4 Be 2.72
2 Mn 0.7493 0.2493 0.5000  4 Be 2.60-2.61, 4 Mn 2.61, 4 Au 2.72
3 Be 0.5002 0.5002 0.0000  8 Mn 2.60-2.72, 4 Au 2.61
4 Au 0.2503 0.7503 0.5000  4 Be 2.61, 8 Mn 2.61-2.72

Calculated values
Density of states at the Fermi level   0.31 states/eV per atom
Size of the total moment   0.880 μB per formula unit
DFT total energy   -25.1 eV per cell

=====

No. 3
# MnBe4Au

A geometry-optimized MnBe4Au structure (PBE, Alexandria via LeMat-Bulk).

Cell: 4.4324 4.4324 4.4324 Å, 60.00 60.00 60.00°
Last column: nearest neighbours and their distance in Å.
Positions (direct):
1 Mn 0.0000 0.0000 0.0000  12 Be 2.59, 4 Au 2.71
2 Be 0.3724 0.3724 0.3724  6 Be 2.17-2.26
3 Be 0.3724 0.3724 0.8827  6 Be 2.17-2.26
4 Be 0.3724 0.8827 0.3724  6 Be 2.17-2.26
5 Be 0.8827 0.3724 0.3724  6 Be 2.17-2.26
6 Au 0.7500 0.7500 0.7500  12 Be 2.60, 4 Mn 2.71

Calculated values
Density of states at the Fermi level   0.62 states/eV per atom
Size of the total moment   3.309 μB per formula unit
DFT total energy   -27.9 eV per cell

=====

No. 4
# MnBe2Au6

A geometry-optimized MnBe2Au6 structure (PBE, Alexandria via LeMat-Bulk).

Cell: 7.2588 7.2588 2.9877 Å, 101.78 101.78 100.49°
Last column: nearest neighbours and their distance in Å.
Positions (direct):
1 Mn 0.0000 0.0000 0.0000  2 Be 2.58, 8 Au 2.75-2.76
2 Be 0.2938 0.2938 0.2943  6 Au 2.34-2.42, 1 Mn 2.58
3 Be 0.7062 0.7062 0.7057  6 Au 2.34-2.42, 1 Mn 2.58
4 Au 0.0376 0.3329 0.6859  2 Be 2.42
5 Au 0.3329 0.0376 0.6859  2 Be 2.42
6 Au 0.3673 0.6327 0.5000  2 Be 2.34
7 Au 0.6327 0.3673 0.5000  2 Be 2.34
8 Au 0.6671 0.9624 0.3141  2 Be 2.42
9 Au 0.9624 0.6671 0.3141  2 Be 2.42

Calculated values
Density of states at the Fermi level   0.41 states/eV per atom
Size of the total moment   4.008 μB per formula unit
DFT total energy   -36.7 eV per cell

=====

Number 1: calculated density 8.4 g/cm³, ΔH_f (0 K) 0.56 eV per atom. Number 2: calculated density 10.1 g/cm³, ΔH_f (0 K) 0.05 eV per atom. Number 3: calculated density 7.8 g/cm³, ΔH_f (0 K) -0.10 eV per atom. Number 4: calculated density 14.2 g/cm³, ΔH_f (0 K) -0.05 eV per atom.